A) ## Pm3NdSm7 (PBE)

Data for crystalline Pm3NdSm7 at its relaxed geometry.

V = 35.0 A^3/atom
Symmetry = C2/m (12)

```
Pm3NdSm7
1.0
6.4111 -5.6898 0.0000
6.4111 5.6898 0.0000
-2.7640 0.0000 5.2780
Pm Nd Sm
3 1 7
Direct
0.0000 0.0000 0.0000 Pm
0.2078 0.7922 0.5000 Pm
0.7922 0.2078 0.5000 Pm
0.5000 0.5000 0.0000 Nd
0.0031 0.4029 0.2029 Sm
0.2071 0.2071 0.7060 Sm
0.4029 0.0031 0.2029 Sm
0.5000 0.5000 0.5000 Sm
0.5971 0.9969 0.7971 Sm
0.7929 0.7929 0.2940 Sm
0.9969 0.5971 0.7971 Sm
```


B) ## Pm3NdSm7 (PBE)

Data for crystalline Pm3NdSm7 at its relaxed geometry.

V = 35.3 A^3/atom
Symmetry = C2/m (12)

```
Pm3NdSm7
1.0
5.9141 -5.0948 0.0000
5.9141 5.0948 0.0000
-0.6054 0.0000 6.4492
Pm Nd Sm
3 1 7
Direct
0.0000 0.0000 0.0000 Pm
0.1725 0.8275 0.5000 Pm
0.8275 0.1725 0.5000 Pm
0.5000 0.5000 0.0000 Nd
0.0801 0.4264 0.2392 Sm
0.2374 0.2374 0.7109 Sm
0.4264 0.0801 0.2392 Sm
0.5000 0.5000 0.5000 Sm
0.5736 0.9199 0.7608 Sm
0.7626 0.7626 0.2891 Sm
0.9199 0.5736 0.7608 Sm
```


We find B) to be the most stable, with the next structure 10 meV per atom higher.